(1)
Entry from Alexandria via LeMat-Bulk: crystalline Tl5In24 at its relaxed geometry (GGA-PBEsol).

The space group is I-43m (No. 217) and the conventional cell measures 11.4739, 11.4739 and 11.4739 Å, with angles of 90.00, 90.00 and 90.00 degrees. The asymmetric unit holds Tl at (0.0000, 0.0000, 0.0000), Tl at (0.1775, 0.1775, 0.8225), In at (0.0451, 0.3600, 0.3600) and In at (0.0936, 0.0936, 0.2864).

The value obtained for the formation energy is 0.00 eV per atom. The crystal system is cubic.

=====

(2)
Entry from Alexandria via LeMat-Bulk: crystalline CaSbSe at its relaxed geometry (GGA-PBEsol).

The space group is P-6m2 (No. 187) and the conventional cell measures 4.9841, 4.9841 and 3.6311 Å, with angles of 90.00, 90.00 and 120.00 degrees. The asymmetric unit holds Ca at (0.0000, 0.0000, 0.0000), Sb at (0.3333, 0.6667, 0.5000) and Se at (0.6667, 0.3333, 0.5000).

The value obtained for the energy relative to the elements, uncorrected is -0.618 eV per atom. The crystal system is hexagonal.

=====

(3)
Entry from Alexandria via LeMat-Bulk: crystalline NiIr2Rh at its relaxed geometry (GGA-PBEsol).

The space group is Cm (No. 8) and the conventional cell measures 8.7575, 2.6770 and 4.5449 Å, with angles of 90.00, 100.38 and 90.00 degrees. The asymmetric unit holds Ni at (0.0000, 0.0000, 0.0000), Ir at (0.2478, 0.5000, 0.2503), Ir at (0.4977, 0.0000, 0.4953) and Rh at (0.2502, 0.0000, 0.7575).

The value obtained for the formation energy is 0.00 eV per atom. The crystal system is monoclinic.

=====

(4)
Entry from Alexandria via LeMat-Bulk: crystalline Cs3V4Te2ClO14 at its relaxed geometry (GGA-PBEsol).

The space group is Pnnm (No. 58) and the conventional cell measures 6.7360, 23.9084 and 5.4526 Å, with angles of 90.00, 90.00 and 90.00 degrees. The asymmetric unit holds Cs at (0.0000, 0.0000, 0.0000), Cs at (0.1731, 0.2294, 0.0000), V at (0.0498, 0.8846, 0.5000), V at (0.1455, 0.3630, 0.5000), Te at (0.0523, 0.5827, 0.0000), Cl at (0.0000, 0.5000, 0.5000), O at (0.0138, 0.1808, 0.5000), O at (0.0682, 0.6349, 0.2600), O at (0.1633, 0.0679, 0.5000), O at (0.1966, 0.8989, 0.2460) and O at (0.2201, 0.2988, 0.5000).

The value obtained for the energy relative to the elements, uncorrected is -2.008 eV per atom. The crystal system is orthorhombic.